This record from the Alexandria database describes an optimized crystal structure of Ca2Pm. The functional is PBE.

a b c (Å): 6.048 6.048 3.603
angles (deg): 90.00 90.00 120.00
Fractional positions:
Ca  0.333  0.667  0.369
Ca  0.667  0.333  0.631
Pm  0.000  0.000  0.000

Calculated values
The formation energy is 0.097 eV/atom.

This record from the Alexandria database describes an optimized crystal structure of AcThP2O8. The functional is PBE.

a b c (Å): 7.953 7.953 7.953
angles (deg): 37.45 37.45 37.45
Fractional positions:
Ac  0.000  0.000  0.000
Th  0.500  0.500  0.500
P  0.256  0.256  0.256
P  0.744  0.744  0.744
O  0.034  0.462  0.805
O  0.195  0.966  0.538
O  0.326  0.326  0.326
O  0.462  0.805  0.034
O  0.538  0.195  0.966
O  0.674  0.674  0.674
O  0.805  0.034  0.462
O  0.966  0.538  0.195

Calculated values
For the uncorrected formation energy, the calculation gives -2750 meV per atom.

This record from the Alexandria database describes an optimized crystal structure of Er4In2Ag. The functional is PBE.

a b c (Å): 6.970 6.625 8.928
angles (deg): 90.00 109.29 90.00
Fractional positions:
Er  0.085  0.250  0.047
Er  0.172  0.009  0.722
Er  0.172  0.491  0.722
Er  0.318  0.750  0.351
Er  0.682  0.250  0.649
Er  0.828  0.509  0.278
Er  0.828  0.991  0.278
Er  0.915  0.750  0.953
In  0.214  0.250  0.434
In  0.432  0.750  0.033
In  0.568  0.250  0.967
In  0.786  0.750  0.566
Ag  0.493  0.250  0.277
Ag  0.507  0.750  0.723

Calculated values
The formation energy is -0.201 eV/atom.

This record from the Alexandria database describes an optimized crystal structure of NdYSc2. The functional is PBE.

a b c (Å): 4.978 4.978 4.653
angles (deg): 90.00 90.00 90.00
Fractional positions:
Nd  0.000  0.000  0.000
Y  0.500  0.500  0.000
Sc  0.000  0.500  0.500
Sc  0.500  0.000  0.500

Calculated values
The formation energy is 0.059 eV/atom.

This record from the Alexandria database describes an optimized crystal structure of BePdSe. The functional is PBE.

a b c (Å): 4.075 4.075 5.908
angles (deg): 90.00 90.00 90.00
Fractional positions:
Be  0.250  0.250  0.217
Be  0.750  0.750  0.783
Pd  0.250  0.250  0.576
Pd  0.750  0.750  0.424
Se  0.250  0.750  0.000
Se  0.750  0.250  0.000

Calculated values
For the uncorrected formation energy, the calculation gives 191 meV per atom.

This record from the Alexandria database describes an optimized crystal structure of CsAgRuBr6. The functional is PBE.

a b c (Å): 7.102 7.102 8.000
angles (deg): 90.00 90.00 120.00
Fractional positions:
Cs  0.000  0.000  0.000
Ag  0.333  0.667  0.500
Ru  0.667  0.333  0.500
Br  0.385  0.037  0.680
Br  0.385  0.349  0.320
Br  0.651  0.037  0.320
Br  0.651  0.615  0.680
Br  0.963  0.349  0.680
Br  0.963  0.615  0.320

Calculated values
For the uncorrected formation energy, the calculation gives -599 meV per atom.